Entry 1:
First-principles (PBE-GGA) data for an optimized crystal structure of Th2Zn3Au2, as listed in Alexandria.

Cell: 3.4090 4.6438 10.3609 Å, 102.95 90.00 90.00°
Fractional positions:
Th  0.0000  0.8455  0.6909
Th  0.0000  0.1545  0.3091
Zn  0.5000  0.5642  0.1284
Zn  0.5000  0.4358  0.8716
Zn  0.0000  0.0000  0.0000
Au  0.5000  0.7075  0.4149
Au  0.5000  0.2925  0.5851

Properties
Magnetization   0.30 μB/f.u.
N(E_F)   5.263 states/eV per cell
SG   Cmmm, No. 65
ΔE to the lowest computed polymorph   0.220 eV/atom
Electronic total energy   -3.86 eV per atom
Calculated formation energy   -0.260 eV/atom

***

Entry 2:
First-principles (PBE-GGA) data for an optimized crystal structure of ThZnAu2, as listed in Alexandria.

Cell: 3.3882 3.3882 7.2171 Å, 90.00 90.00 90.00°
Fractional positions:
Zn  0.5000  0.5000  0.0000
Au  0.0000  0.0000  0.7925
Au  0.0000  0.0000  0.2075
Th  0.5000  0.5000  0.5000

Properties
Magnetization   0.00 μB/f.u.
N(E_F)   2.386 states/eV per cell
SG   P4/mmm, No. 123
Electronic total energy   -4.24 eV per atom
Calculated formation energy   -0.431 eV/atom

***

Entry 3:
First-principles (PBE-GGA) data for an optimized crystal structure of Th2ZnAu3, as listed in Alexandria.

Cell: 5.8856 5.8856 8.9273 Å, 103.12 103.12 108.13°
Fractional positions:
Th  0.2500  0.7500  0.5000
Th  0.7583  0.7583  0.0000
Th  0.7500  0.2500  0.5000
Th  0.2417  0.2417  0.0000
Zn  0.6666  0.6666  0.3332
Zn  0.3334  0.3334  0.6668
Au  0.3458  0.8259  0.1716
Au  0.1741  0.6542  0.8284
Au  0.6542  0.1741  0.8284
Au  0.8259  0.3458  0.1716
Au  0.1716  0.1716  0.3433
Au  0.8284  0.8284  0.6567

Properties
Magnetization   0.00 μB/f.u.
N(E_F)   6.360 states/eV per cell
SG   Fmmm, No. 69
Electronic total energy   -4.98 eV per atom
Calculated formation energy   -0.657 eV/atom

***

Entry 4:
First-principles (PBE-GGA) data for an optimized crystal structure of ThZn5Au3, as listed in Alexandria.

Cell: 4.1237 7.0677 12.4142 Å, 90.00 90.00 106.96°
Fractional positions:
Th  0.8166  0.6332  0.7500
Th  0.1834  0.3668  0.2500
Zn  0.8062  0.6124  0.4569
Zn  0.1938  0.3876  0.9569
Zn  0.0000  0.0000  0.5000
Zn  0.0000  0.0000  0.0000
Zn  0.4315  0.8630  0.1408
Zn  0.5685  0.1370  0.8592
Zn  0.5685  0.1370  0.6408
Zn  0.8062  0.6124  0.0431
Zn  0.1938  0.3876  0.5431
Zn  0.4315  0.8630  0.3592
Au  0.3854  0.7707  0.9211
Au  0.8589  0.7179  0.2500
Au  0.3854  0.7707  0.5789
Au  0.6146  0.2293  0.4211
Au  0.1411  0.2821  0.7500
Au  0.6146  0.2293  0.0789

Properties
Magnetization   0.00 μB/f.u.
N(E_F)   7.043 states/eV per cell
SG   Cmcm, No. 63
Electronic total energy   -2.93 eV per atom
Calculated formation energy   -0.304 eV/atom